[1]
Entry from Alexandria: an optimized crystal structure of HfTaCrPt2 (PBE).

Calculated values
spin magnetization = 0.2 Bohr magnetons per cell
space-group type = P4/mmm (123)
energy of formation from the pure elements = 1305.0 meV per atom

extended XYZ file:
```
5
Lattice="4.812 0.000 0.000 0.000 4.812 0.000 0.000 0.000 4.447" Properties=species:S:1:pos:R:3 pbc="T T T"
Hf 0.000 0.000 0.000
Ta 2.406 2.406 2.223
Cr 0.000 0.000 2.223
Pt 0.000 2.406 0.000
Pt 2.406 0.000 0.000
```

[2]
Entry from Alexandria: an optimized crystal structure of HfCr2TcPt (PBE).

Calculated values
spin magnetization = 9.7 Bohr magnetons per cell
space-group type = P4/mmm (123)
energy of formation from the pure elements = 1821.9 meV per atom

extended XYZ file:
```
5
Lattice="4.676 0.000 0.000 0.000 4.676 0.000 0.000 0.000 4.871" Properties=species:S:1:pos:R:3 pbc="T T T"
Hf 0.000 0.000 0.000
Cr 0.000 2.338 0.000
Cr 2.338 0.000 0.000
Tc 2.338 2.338 2.435
Pt 0.000 0.000 2.435
```

[3]
Entry from Alexandria: an optimized crystal structure of HfCrTcPt2 (PBE).

Calculated values
spin magnetization = 7.0 Bohr magnetons per cell
space-group type = P4/mmm (123)
energy of formation from the pure elements = 1417.3 meV per atom

extended XYZ file:
```
5
Lattice="4.882 0.000 0.000 0.000 4.882 0.000 0.000 0.000 4.674" Properties=species:S:1:pos:R:3 pbc="T T T"
Hf 0.000 0.000 0.000
Cr 0.000 0.000 2.337
Tc 2.441 2.441 2.337
Pt 0.000 2.441 0.000
Pt 2.441 0.000 0.000
```

[4]
Entry from Alexandria: an optimized crystal structure of PuHfCr4 (PBE).

Calculated values
spin magnetization = 4.4 Bohr magnetons per cell
space-group type = F-43m (216)
energy of formation from the pure elements = 206.4 meV per atom

extended XYZ file:
```
6
Lattice="0.000 3.572 3.572 3.572 0.000 3.572 3.572 3.572 0.000" Properties=species:S:1:pos:R:3 pbc="T T T"
Pu 0.000 0.000 0.000
Hf 5.358 5.358 5.358
Cr 2.680 2.680 2.680
Cr 4.463 4.463 2.680
Cr 4.463 2.680 4.463
Cr 2.680 4.463 4.463
```

[5]
Entry from Alexandria: an optimized crystal structure of PuHf2Cr (PBE).

Calculated values
spin magnetization = 7.1 Bohr magnetons per cell
space-group type = P4/mmm (123)
energy of formation from the pure elements = 144.3 meV per atom

extended XYZ file:
```
4
Lattice="3.208 0.000 0.000 0.000 3.208 0.000 0.000 0.000 7.905" Properties=species:S:1:pos:R:3 pbc="T T T"
Pu 0.000 0.000 0.000
Hf 1.604 1.604 2.364
Hf 1.604 1.604 5.540
Cr 0.000 0.000 3.952
```

[6]
Entry from Alexandria: an optimized crystal structure of PuHfCrTc (PBE).

Calculated values
spin magnetization = 2.4 Bohr magnetons per cell
space-group type = F-43m (216)
energy of formation from the pure elements = -0.6 meV per atom

extended XYZ file:
```
4
Lattice="0.000 3.299 3.299 3.299 0.000 3.299 3.299 3.299 0.000" Properties=species:S:1:pos:R:3 pbc="T T T"
Pu 0.000 0.000 0.000
Hf 3.299 3.299 3.299
Cr 4.948 4.948 4.948
Tc 1.649 1.649 1.649
```

[7]
Entry from Alexandria: an optimized crystal structure of RbHfCr3 (PBE).

Calculated values
spin magnetization = 10.0 Bohr magnetons per cell
space-group type = Pm-3m (221)
energy of formation from the pure elements = 2485.0 meV per atom

extended XYZ file:
```
5
Lattice="4.812 0.000 0.000 0.000 4.812 0.000 0.000 0.000 4.812" Properties=species:S:1:pos:R:3 pbc="T T T"
Rb 0.000 0.000 0.000
Hf 2.406 2.406 2.406
Cr 0.000 0.000 2.406
Cr 0.000 2.406 0.000
Cr 2.406 0.000 0.000
```

[8]
Entry from Alexandria: an optimized crystal structure of Rb3HfCr (PBE).

Calculated values
spin magnetization = 2.2 Bohr magnetons per cell
space-group type = Pm-3m (221)
energy of formation from the pure elements = 1652.8 meV per atom

extended XYZ file:
```
5
Lattice="6.760 0.000 0.000 0.000 6.760 0.000 0.000 0.000 6.760" Properties=species:S:1:pos:R:3 pbc="T T T"
Rb 0.000 0.000 3.380
Rb 0.000 3.380 0.000
Rb 3.380 0.000 0.000
Hf 3.380 3.380 3.380
Cr 0.000 0.000 0.000
```

[9]
Entry from Alexandria: an optimized crystal structure of Rb2HfCr (PBE).

Calculated values
spin magnetization = 6.0 Bohr magnetons per cell
space-group type = Fm-3m (225)
energy of formation from the pure elements = 1811.8 meV per atom

extended XYZ file:
```
4
Lattice="0.000 4.343 4.343 4.343 0.000 4.343 4.343 4.343 0.000" Properties=species:S:1:pos:R:3 pbc="T T T"
Rb 2.172 2.172 2.172
Rb 6.515 6.515 6.515
Hf 0.000 0.000 0.000
Cr 4.343 4.343 4.343
```

[10]
Entry from Alexandria: an optimized crystal structure of RbHfCr3 (PBE).

Calculated values
spin magnetization = 10.9 Bohr magnetons per cell
space-group type = Pm-3m (221)
energy of formation from the pure elements = 1616.6 meV per atom

extended XYZ file:
```
5
Lattice="5.157 0.000 0.000 0.000 5.157 0.000 0.000 0.000 5.157" Properties=species:S:1:pos:R:3 pbc="T T T"
Rb 0.000 0.000 0.000
Hf 2.578 2.578 2.578
Cr 0.000 2.578 2.578
Cr 2.578 0.000 2.578
Cr 2.578 2.578 0.000
```

[11]
Entry from Alexandria: an optimized crystal structure of Rb2HfCr (PBE).

Calculated values
spin magnetization = 5.0 Bohr magnetons per cell
space-group type = I-42d (122)
energy of formation from the pure elements = 1424.1 meV per atom

extended XYZ file:
```
8
Lattice="-6.778 6.778 2.393 6.778 -6.778 2.393 6.778 6.778 -2.393" Properties=species:S:1:pos:R:3 pbc="T T T"
Rb 1.212 3.389 0.598
Rb -3.389 5.566 1.794
Rb -1.212 10.166 0.598
Rb 3.389 7.989 1.794
Hf 6.778 0.000 1.196
Hf 0.000 0.000 2.393
Cr 0.000 0.000 0.000
Cr 0.000 6.778 1.196
```

[12]
Entry from Alexandria: an optimized crystal structure of Rb3HfCr2Se6 (PBE).

Calculated values
spin magnetization = 7.0 Bohr magnetons per cell
space-group type = C2/m (12)
final energy = -5.363 eV per atom

extended XYZ file:
```
12
Lattice="3.432 -5.942 0.000 3.432 5.942 0.000 -2.286 0.000 7.847" Properties=species:S:1:pos:R:3 pbc="T T T"
Rb 0.000 0.000 0.000
Rb 3.432 1.975 0.000
Rb 3.432 -1.975 0.000
Hf 2.288 0.000 3.923
Cr 2.288 3.961 3.923
Cr 2.288 -3.961 3.923
Se 1.129 2.008 2.524
Se -0.031 0.000 5.320
Se 1.129 -2.008 2.524
Se 3.448 2.008 5.322
Se 4.608 0.000 2.526
Se 3.448 -2.008 5.322
```

[13]
Entry from Alexandria: an optimized crystal structure of Rb3HfCr2Te6 (PBE).

Calculated values
spin magnetization = 7.0 Bohr magnetons per cell
space-group type = C2/m (12)
final energy = -4.887 eV per atom

extended XYZ file:
```
12
Lattice="3.681 -6.376 0.000 3.681 6.376 0.000 -2.456 0.000 8.407" Properties=species:S:1:pos:R:3 pbc="T T T"
Rb 0.000 0.000 0.000
Rb 3.681 2.101 0.000
Rb 3.681 -2.101 0.000
Hf 2.453 0.000 4.204
Cr 2.453 4.249 4.204
Cr 2.453 -4.249 4.204
Te 1.202 2.168 2.694
Te -0.051 0.000 5.707
Te 1.202 -2.168 2.694
Te 3.705 2.168 5.714
Te 4.957 0.000 2.700
Te 3.705 -2.168 5.714
```

[14]
Entry from Alexandria: an optimized crystal structure of RbHfCrW2 (PBE).

Calculated values
spin magnetization = 0.0 Bohr magnetons per cell
space-group type = P4/mmm (123)
energy of formation from the pure elements = 2060.8 meV per atom

extended XYZ file:
```
5
Lattice="4.635 0.000 0.000 0.000 4.635 0.000 0.000 0.000 5.055" Properties=species:S:1:pos:R:3 pbc="T T T"
Rb 0.000 0.000 0.000
Hf 2.318 2.318 0.000
Cr 0.000 0.000 2.527
W 0.000 2.318 2.527
W 2.318 0.000 2.527
```

[15]
Entry from Alexandria: an optimized crystal structure of RbY2HfCr (PBE).

Calculated values
spin magnetization = 4.5 Bohr magnetons per cell
space-group type = P4/mmm (123)
energy of formation from the pure elements = 1458.4 meV per atom

extended XYZ file:
```
5
Lattice="5.605 0.000 0.000 0.000 5.605 0.000 0.000 0.000 6.234" Properties=species:S:1:pos:R:3 pbc="T T T"
Rb 0.000 0.000 0.000
Y 0.000 2.802 3.117
Y 2.802 0.000 3.117
Hf 0.000 0.000 3.117
Cr 2.802 2.802 0.000
```

[16]
Entry from Alexandria: an optimized crystal structure of HfCr4Re (PBE).

Calculated values
spin magnetization = 0.0 Bohr magnetons per cell
space-group type = F-43m (216)
energy of formation from the pure elements = -37.7 meV per atom

extended XYZ file:
```
6
Lattice="0.000 3.450 3.450 3.450 0.000 3.450 3.450 3.450 0.000" Properties=species:S:1:pos:R:3 pbc="T T T"
Hf 0.000 0.000 0.000
Cr 2.588 2.588 2.588
Cr 4.313 4.313 2.588
Cr 4.313 2.588 4.313
Cr 2.588 4.313 4.313
Re 5.175 5.175 5.175
```

[17]
Entry from Alexandria: an optimized crystal structure of Hf3CrRe (PBE).

Calculated values
spin magnetization = 0.0 Bohr magnetons per cell
space-group type = Pm-3m (221)
energy of formation from the pure elements = 978.8 meV per atom

extended XYZ file:
```
5
Lattice="4.671 0.000 0.000 0.000 4.671 0.000 0.000 0.000 4.671" Properties=species:S:1:pos:R:3 pbc="T T T"
Hf 0.000 0.000 2.336
Hf 0.000 2.336 0.000
Hf 2.336 0.000 0.000
Cr 0.000 0.000 0.000
Re 2.336 2.336 2.336
```

[18]
Entry from Alexandria: an optimized crystal structure of Hf2CrRe (PBE).

Calculated values
spin magnetization = 2.5 Bohr magnetons per cell
space-group type = P4/mmm (123)
energy of formation from the pure elements = -128.8 meV per atom

extended XYZ file:
```
4
Lattice="4.625 0.000 0.000 0.000 4.625 0.000 0.000 0.000 3.275" Properties=species:S:1:pos:R:3 pbc="T T T"
Hf 0.000 2.312 0.000
Hf 2.312 0.000 0.000
Cr 0.000 0.000 1.637
Re 2.312 2.312 1.637
```

[19]
Entry from Alexandria: an optimized crystal structure of Hf2CrRe2 (PBE).

Calculated values
spin magnetization = 3.6 Bohr magnetons per cell
space-group type = I4/mmm (139)
energy of formation from the pure elements = 825.0 meV per atom

extended XYZ file:
```
5
Lattice="-2.142 2.142 5.690 2.142 -2.142 5.690 2.142 2.142 -5.690" Properties=species:S:1:pos:R:3 pbc="T T T"
Hf 2.142 0.000 2.845
Hf 0.000 2.142 2.845
Cr 0.000 0.000 0.000
Re 0.000 0.000 4.499
Re 0.000 0.000 6.881
```

[20]
Entry from Alexandria: an optimized crystal structure of Hf2CrRe3 (PBE).

Calculated values
spin magnetization = 0.0 Bohr magnetons per cell
space-group type = R-3m (166)
energy of formation from the pure elements = -342.7 meV per atom

extended XYZ file:
```
6
Lattice="2.638 1.523 4.164 -2.638 1.523 4.164 0.000 -3.046 4.164" Properties=species:S:1:pos:R:3 pbc="T T T"
Hf 0.000 0.000 1.565
Hf 0.000 0.000 10.926
Cr 0.000 0.000 6.245
Re -1.319 -0.762 4.164
Re -1.319 0.762 8.327
Re 0.000 1.523 4.164
```

[21]
Entry from Alexandria: an optimized crystal structure of Hf2CrRe (PBE).

Calculated values
spin magnetization = 5.3 Bohr magnetons per cell
space-group type = I-42d (122)
energy of formation from the pure elements = 637.5 meV per atom

extended XYZ file:
```
8
Lattice="-3.631 3.631 2.839 3.631 -3.631 2.839 3.631 3.631 -2.839" Properties=species:S:1:pos:R:3 pbc="T T T"
Hf 1.816 1.805 -0.710
Hf 1.826 -1.816 3.548
Hf 1.816 1.826 2.129
Hf 1.805 5.447 0.710
Cr 3.631 0.000 1.419
Cr 0.000 0.000 2.839
Re 0.000 0.000 0.000
Re 0.000 3.631 1.419
```

[22]
Entry from Alexandria: an optimized crystal structure of HfCrRe (PBE).

Calculated values
spin magnetization = 0.0 Bohr magnetons per cell
space-group type = I4mm (107)
energy of formation from the pure elements = -117.8 meV per atom

extended XYZ file:
```
3
Lattice="-1.556 1.556 4.881 1.556 -1.556 4.881 1.556 1.556 -4.881" Properties=species:S:1:pos:R:3 pbc="T T T"
Hf 0.000 0.000 0.000
Cr 0.000 0.000 6.591
Re 0.000 0.000 3.093
```

[23]
Entry from Alexandria: an optimized crystal structure of HfCrRe (PBE).

Calculated values
spin magnetization = 0.0 Bohr magnetons per cell
space-group type = Fmmm (69)
energy of formation from the pure elements = 136.5 meV per atom

extended XYZ file:
```
6
Lattice="0.000 4.285 4.456 2.497 0.000 4.456 2.497 4.285 0.000" Properties=species:S:1:pos:R:3 pbc="T T T"
Hf 2.497 1.417 4.456
Hf 2.497 7.152 4.456
Cr 1.248 2.142 2.228
Cr 3.745 6.427 6.684
Re 2.497 4.285 3.134
Re 2.497 4.285 5.778
```

[24]
Entry from Alexandria: an optimized crystal structure of HfCr2Re3 (PBE).

Calculated values
spin magnetization = 0.0 Bohr magnetons per cell
space-group type = P6/mmm (191)
energy of formation from the pure elements = 144.1 meV per atom

extended XYZ file:
```
6
Lattice="5.129 0.000 0.000 -2.565 4.442 0.000 0.000 0.000 4.243" Properties=species:S:1:pos:R:3 pbc="T T T"
Hf 0.000 0.000 0.000
Cr 0.000 2.962 0.000
Cr 2.565 1.481 0.000
Re -1.282 2.221 2.121
Re 2.565 0.000 2.121
Re 1.282 2.221 2.121
```

[25]
Entry from Alexandria: an optimized crystal structure of HfCrRe2 (PBE).

Calculated values
spin magnetization = 0.0 Bohr magnetons per cell
space-group type = P4/mmm (123)
energy of formation from the pure elements = -89.5 meV per atom

extended XYZ file:
```
4
Lattice="3.116 0.000 0.000 0.000 3.116 0.000 0.000 0.000 6.386" Properties=species:S:1:pos:R:3 pbc="T T T"
Hf 0.000 0.000 0.000
Cr 0.000 0.000 3.193
Re 1.558 1.558 1.748
Re 1.558 1.558 4.638
```

[26]
Entry from Alexandria: an optimized crystal structure of Hf3CrRe (PBE).

Calculated values
spin magnetization = 0.2 Bohr magnetons per cell
space-group type = Pm-3m (221)
energy of formation from the pure elements = 1215.4 meV per atom

extended XYZ file:
```
5
Lattice="4.979 0.000 0.000 0.000 4.979 0.000 0.000 0.000 4.979" Properties=species:S:1:pos:R:3 pbc="T T T"
Hf 0.000 0.000 2.489
Hf 0.000 2.489 0.000
Hf 2.489 0.000 0.000
Cr 2.489 2.489 2.489
Re 0.000 0.000 0.000
```

[27]
Entry from Alexandria: an optimized crystal structure of Hf2CrRe2 (PBE).

Calculated values
spin magnetization = 0.0 Bohr magnetons per cell
space-group type = P4/mbm (127)
energy of formation from the pure elements = 29.3 meV per atom

extended XYZ file:
```
10
Lattice="6.331 0.000 0.000 0.000 6.331 0.000 0.000 0.000 4.463" Properties=species:S:1:pos:R:3 pbc="T T T"
Hf 1.116 2.049 0.000
Hf 2.049 5.215 0.000
Hf 4.282 1.116 0.000
Hf 5.215 4.282 0.000
Cr 0.000 0.000 2.231
Cr 3.166 3.166 2.231
Re 0.895 4.060 2.231
Re 2.271 0.895 2.231
Re 4.060 5.436 2.231
Re 5.436 2.271 2.231
```

[28]
Entry from Alexandria: an optimized crystal structure of HfCrRe2 (PBE).

Calculated values
spin magnetization = 0.0 Bohr magnetons per cell
space-group type = Fm-3m (225)
energy of formation from the pure elements = -30.7 meV per atom

extended XYZ file:
```
4
Lattice="0.000 3.134 3.134 3.134 0.000 3.134 3.134 3.134 0.000" Properties=species:S:1:pos:R:3 pbc="T T T"
Hf 0.000 0.000 0.000
Cr 3.134 3.134 3.134
Re 1.567 1.567 1.567
Re 4.701 4.701 4.701
```